Compound: Ce3In2Ir
Source: Alexandria
Functional: PBE
Structure: optimized geometry

## Properties
M_tot, μB per formula unit: 2.7
Energy relative to the elements, eV/atom: -0.34
Space group: C2/m (12)
Volume, A^3/atom: 28.6

a = 6.642 Å, b = 6.642 Å, c = 8.207 Å
α = 95.53°, β = 95.53°, γ = 106.41°
Atoms (fractional coordinates):
Ce 0.044 0.409 0.771
Ce 0.176 0.176 0.175
Ce 0.409 0.044 0.771
Ce 0.591 0.956 0.229
Ce 0.824 0.824 0.825
Ce 0.956 0.591 0.229
In 0.000 0.000 0.500
In 0.365 0.635 0.500
In 0.500 0.500 0.000
In 0.635 0.365 0.500
Ir 0.205 0.795 0.000
Ir 0.795 0.205 0.000


Compound: Ce2InIr
Source: Alexandria
Functional: PBE
Structure: optimized geometry

## Properties
M_tot, μB per formula unit: 0.9
Energy relative to the elements, eV/atom: -0.51
ΔE to the lowest computed polymorph, eV/atom: 0.055
Space group: P4/mmm (123)
Volume, A^3/atom: 24.2

a = 3.770 Å, b = 3.770 Å, c = 6.816 Å
α = 90.00°, β = 90.00°, γ = 90.00°
Atoms (fractional coordinates):
Ce 0.000 0.000 0.205
Ce 0.000 0.000 0.795
In 0.500 0.500 0.500
Ir 0.500 0.500 0.000


Compound: Ce2InIr
Source: Alexandria
Functional: PBE
Structure: optimized geometry

## Properties
M_tot, μB per formula unit: 1.1
Energy relative to the elements, eV/atom: -0.48
ΔE to the lowest computed polymorph, eV/atom: 0.088
Space group: R-3m (166)
Volume, A^3/atom: 28.2

a = 8.547 Å, b = 8.547 Å, c = 8.547 Å
α = 26.91°, β = 26.91°, γ = 26.91°
Atoms (fractional coordinates):
Ce 0.232 0.232 0.232
Ce 0.768 0.768 0.768
In 0.000 0.000 0.000
Ir 0.500 0.500 0.500


Compound: Ce12In6Ir
Source: Alexandria
Functional: PBE
Structure: optimized geometry

## Properties
M_tot, μB per formula unit: 4.2
Energy relative to the elements, eV/atom: -0.22
Space group: R-3 (148)
Volume, A^3/atom: 26.3

a = 7.939 Å, b = 7.939 Å, c = 7.939 Å
α = 88.79°, β = 88.79°, γ = 88.79°
Atoms (fractional coordinates):
Ce 0.002 0.086 0.724
Ce 0.086 0.724 0.002
Ce 0.147 0.431 0.354
Ce 0.276 0.998 0.914
Ce 0.354 0.147 0.431
Ce 0.431 0.354 0.147
Ce 0.569 0.646 0.853
Ce 0.646 0.853 0.569
Ce 0.724 0.002 0.086
Ce 0.853 0.569 0.646
Ce 0.914 0.276 0.998
Ce 0.998 0.914 0.276
In 0.234 0.756 0.594
In 0.244 0.406 0.766
In 0.406 0.766 0.244
In 0.594 0.234 0.756
In 0.756 0.594 0.234
In 0.766 0.244 0.406
Ir 0.500 0.500 0.500


Compound: Ce3InIr
Source: Alexandria
Functional: PBE
Structure: optimized geometry

## Properties
M_tot, μB per formula unit: 2.7
Energy relative to the elements, eV/atom: -0.41
ΔE to the lowest computed polymorph, eV/atom: 0.032
Space group: P2_1/m (11)
Volume, A^3/atom: 28.0

a = 3.880 Å, b = 11.115 Å, c = 6.771 Å
α = 90.00°, β = 106.61°, γ = 90.00°
Atoms (fractional coordinates):
Ce 0.033 0.250 0.065
Ce 0.347 0.029 0.694
Ce 0.347 0.471 0.694
Ce 0.653 0.529 0.306
Ce 0.653 0.971 0.306
Ce 0.967 0.750 0.935
In 0.251 0.750 0.504
In 0.749 0.250 0.496
Ir 0.000 0.000 0.000
Ir 0.000 0.500 0.000


Compound: Ce4InIr2
Source: Alexandria
Functional: PBE
Structure: optimized geometry

## Properties
M_tot, μB per formula unit: 2.6
Energy relative to the elements, eV/atom: -0.47
Space group: R-3m (166)
Volume, A^3/atom: 27.7

a = 13.277 Å, b = 13.277 Å, c = 13.277 Å
α = 17.94°, β = 17.94°, γ = 17.94°
Atoms (fractional coordinates):
Ce 0.106 0.106 0.106
Ce 0.303 0.303 0.303
Ce 0.697 0.697 0.697
Ce 0.894 0.894 0.894
In 0.500 0.500 0.500
Ir 0.400 0.400 0.400
Ir 0.600 0.600 0.600


Compound: Ce3InIr8
Source: Alexandria
Functional: PBE
Structure: optimized geometry

## Properties
M_tot, μB per formula unit: 0.0
Energy relative to the elements, eV/atom: -0.61
Space group: R3m (160)
Volume, A^3/atom: 18.3

a = 9.318 Å, b = 9.318 Å, c = 9.318 Å
α = 33.51°, β = 33.51°, γ = 33.51°
Atoms (fractional coordinates):
Ce 0.000 0.000 0.000
Ce 0.127 0.127 0.127
Ce 0.507 0.507 0.507
In 0.630 0.630 0.630
Ir 0.065 0.566 0.566
Ir 0.066 0.066 0.563
Ir 0.066 0.563 0.066
Ir 0.315 0.315 0.315
Ir 0.563 0.066 0.066
Ir 0.566 0.065 0.566
Ir 0.566 0.566 0.065
Ir 0.815 0.815 0.815


Compound: Ce2InIr
Source: Alexandria
Functional: PBE
Structure: optimized geometry

## Properties
M_tot, μB per formula unit: 0.0
Energy relative to the elements, eV/atom: -0.42
ΔE to the lowest computed polymorph, eV/atom: 0.148
Space group: P4/mmm (123)
Volume, A^3/atom: 22.7

a = 4.529 Å, b = 4.529 Å, c = 4.420 Å
α = 90.00°, β = 90.00°, γ = 90.00°
Atoms (fractional coordinates):
Ce 0.000 0.500 0.000
Ce 0.500 0.000 0.000
In 0.000 0.000 0.500
Ir 0.500 0.500 0.500


Compound: Ce3InIr2
Source: Alexandria
Functional: PBE
Structure: optimized geometry

## Properties
M_tot, μB per formula unit: 2.1
Energy relative to the elements, eV/atom: -0.54
Space group: Ibam (72)
Volume, A^3/atom: 26.4

a = 8.272 Å, b = 8.272 Å, c = 8.272 Å
α = 132.65°, β = 72.13°, γ = 129.01°
Atoms (fractional coordinates):
Ce 0.033 0.750 0.283
Ce 0.250 0.250 0.000
Ce 0.467 0.750 0.717
Ce 0.533 0.250 0.283
Ce 0.750 0.750 0.000
Ce 0.967 0.250 0.717
In 0.000 0.500 0.500
In 0.500 0.000 0.500
Ir 0.141 0.198 0.338
Ir 0.359 0.698 0.057
Ir 0.641 0.302 0.943
Ir 0.859 0.802 0.662


Compound: CeInIr4
Source: Alexandria
Functional: PBE
Structure: optimized geometry

## Properties
M_tot, μB per formula unit: 0.0
Energy relative to the elements, eV/atom: -0.42
Space group: F-43m (216)
Volume, A^3/atom: 18.0

a = 5.350 Å, b = 5.350 Å, c = 5.350 Å
α = 60.00°, β = 60.00°, γ = 60.00°
Atoms (fractional coordinates):
Ce 0.000 0.000 0.000
In 0.750 0.750 0.750
Ir 0.376 0.376 0.376
Ir 0.376 0.376 0.873
Ir 0.376 0.873 0.376
Ir 0.873 0.376 0.376


Compound: Ce3In2Ir3
Source: Alexandria
Functional: PBE
Structure: optimized geometry

## Properties
M_tot, μB per formula unit: 1.0
Energy relative to the elements, eV/atom: -0.48
Space group: Immm (71)
Volume, A^3/atom: 22.8

a = 11.368 Å, b = 11.368 Å, c = 11.368 Å
α = 162.10°, β = 156.21°, γ = 29.94°
Atoms (fractional coordinates):
Ce 0.000 0.000 0.000
Ce 0.381 0.881 0.500
Ce 0.619 0.119 0.500
In 0.225 0.225 0.000
In 0.775 0.775 0.000
Ir 0.108 0.608 0.500
Ir 0.500 0.500 0.000
Ir 0.892 0.392 0.500


Compound: Ce3InIr
Source: Alexandria
Functional: PBE
Structure: optimized geometry

## Properties
M_tot, μB per formula unit: 2.6
Energy relative to the elements, eV/atom: -0.44
ΔE to the lowest computed polymorph, eV/atom: 0.000
Space group: Fmmm (69)
Volume, A^3/atom: 26.0

a = 9.111 Å, b = 8.512 Å, c = 5.930 Å
α = 75.90°, β = 64.97°, γ = 39.14°
Atoms (fractional coordinates):
Ce 0.189 0.609 0.391
Ce 0.206 0.206 0.794
Ce 0.391 0.811 0.189
Ce 0.609 0.189 0.811
Ce 0.794 0.794 0.206
Ce 0.811 0.391 0.609
In 0.204 0.796 0.796
In 0.796 0.204 0.204
Ir 0.250 0.250 0.250
Ir 0.750 0.750 0.750


no.,Fermi-level density of states (states/eV per cell)
1,34.55
2,6.80
3,9.56
4,44.11
5,28.19
6,21.15
7,14.21
8,6.36
9,31.40
10,9.28
11,11.47
12,30.75